(1)
The following is a PBE calculation of K2HfICl after structural relaxation, from the Alexandria database.

Cell and atoms, written as POSCAR:
```
K2HfICl
1.0
5.618 0.000 0.000
0.000 7.315 0.000
0.000 0.000 5.618
I K Hf Cl
1 2 1 1
direct
0.000 0.500 0.000
0.000 0.000 0.500
0.500 0.000 0.000
0.500 0.500 0.500
0.000 0.000 0.000
```

Calculated values
magnetization	2.00	μB per formula unit
formation energy (no corrections)	0.105	eV per atom

(2)
The following is a PBE calculation of HfMgICl2 after structural relaxation, from the Alexandria database.

Cell and atoms, written as POSCAR:
```
HfMgICl2
1.0
-5.727 0.777 -1.660
0.060 -4.732 -2.422
-1.832 -2.628 5.089
I Mg Hf Cl
1 1 1 2
direct
0.000 0.000 0.000
0.500 0.500 0.500
0.000 0.500 0.000
0.000 0.000 0.500
0.500 0.000 0.000
```

Calculated values
magnetization	0.00	μB per formula unit
formation energy (no corrections)	0.566	eV per atom